(1)
A geometry-optimized ScBPt3 structure. Source: OQMD via LeMat-Bulk, functional GGA-PBE.

a = 4.254 Å, b = 4.254 Å, c = 4.254 Å
α = 90.00°, β = 90.00°, γ = 90.00°
Space group Pm-3m (No. 221)
Asymmetric unit:
1 Sc 0.000 0.000 0.000 [1 per cell]
2 B 0.500 0.500 0.500 [1 per cell]
3 Pt 0.000 0.500 0.500 [3 per cell]

Summary:
Total magnetization (Bohr magnetons per cell): 0.003
E_tot (eV per cell): -34.40

(2)
A geometry-optimized ScBPt structure. Source: OQMD via LeMat-Bulk, functional GGA-PBE.

a = 5.606 Å, b = 5.606 Å, c = 5.606 Å
α = 90.00°, β = 90.00°, γ = 90.00°
Space group F-43m (No. 216)
Asymmetric unit:
1 Sc 0.000 0.000 0.000 [4 per cell]
2 B 0.250 0.250 0.750 [4 per cell]
3 Pt 0.000 0.000 0.500 [4 per cell]

Summary:
Total magnetization (Bohr magnetons per cell): 0.010
E_tot (eV per cell): -81.84

(3)
A geometry-optimized ScBPt structure. Source: OQMD via LeMat-Bulk, functional GGA-PBE.

a = 5.920 Å, b = 5.920 Å, c = 5.920 Å
α = 90.00°, β = 90.00°, γ = 90.00°
Space group F-43m (No. 216)
Asymmetric unit:
1 Sc 0.000 0.000 0.000 [4 per cell]
2 B 0.250 0.250 0.750 [4 per cell]
3 Pt 0.250 0.250 0.250 [4 per cell]

Summary:
Total magnetization (Bohr magnetons per cell): 0.005
E_tot (eV per cell): -71.99

Repeat the first record exactly.
A geometry-optimized ScBPt3 structure. Source: OQMD via LeMat-Bulk, functional GGA-PBE.

a = 4.254 Å, b = 4.254 Å, c = 4.254 Å
α = 90.00°, β = 90.00°, γ = 90.00°
Space group Pm-3m (No. 221)
Asymmetric unit:
1 Sc 0.000 0.000 0.000 [1 per cell]
2 B 0.500 0.500 0.500 [1 per cell]
3 Pt 0.000 0.500 0.500 [3 per cell]

Summary:
Total magnetization (Bohr magnetons per cell): 0.003
E_tot (eV per cell): -34.40